VASP calculation (PBE-GGA) on crystalline RbZrZn3 at its relaxed geometry.

```
data_RbZrZn3
_chemical_formula_sum 'Rb1 Zr1 Zn3'
_space_group_name_H-M_alt 'P m -3 m'
_space_group_IT_number 221
_space_group_name_Hall '-P 4 2 3'
_cell_length_a 5.3128
_cell_length_b 5.3128
_cell_length_c 5.3128
_cell_angle_alpha 90.00
_cell_angle_beta 90.00
_cell_angle_gamma 90.00
loop_
_atom_site_label
_atom_site_fract_x
_atom_site_fract_y
_atom_site_fract_z
_atom_site_occupancy
Rb1 0.0000 0.0000 0.0000 1
Zr1 0.5000 0.5000 0.5000 1
Zn1 0.0000 0.0000 0.5000 1
```

## Properties
DOS at the Fermi energy = 4.445 states/eV per cell
ΔH_f (0 K) = 1.471 eV per atom
M_tot = 1.296 μB/f.u.
Density = 4.13 Mg/m³
Calculated total energy = -1.20 eV/atom



VASP calculation (PBE-GGA) on crystalline ZnSnNCl2 at its relaxed geometry.

```
data_ZnSnNCl2
_chemical_formula_sum 'Zn1 Sn1 N1 Cl2'
_space_group_name_H-M_alt 'P 4/m m m'
_space_group_IT_number 123
_space_group_name_Hall '-P 4 2'
_cell_length_a 5.4256
_cell_length_b 5.4256
_cell_length_c 5.2899
_cell_angle_alpha 90.00
_cell_angle_beta 90.00
_cell_angle_gamma 90.00
loop_
_atom_site_label
_atom_site_fract_x
_atom_site_fract_y
_atom_site_fract_z
_atom_site_occupancy
Zn1 0.0000 0.0000 0.0000 1
Sn1 0.0000 0.0000 0.5000 1
N1 0.5000 0.5000 0.0000 1
Cl1 0.0000 0.5000 0.5000 1
```

## Properties
DOS at the Fermi energy = 0.020 states/eV per cell
M_tot = 3.000 μB/f.u.
Density = 2.87 Mg/m³
Calculated total energy = -2.84 eV/atom
Formation energy without anion corrections = 0.62 eV per atom



VASP calculation (PBE-GGA) on crystalline CrInCl2 at its relaxed geometry.

```
data_CrInCl2
_chemical_formula_sum 'Cr1 In1 Cl2'
_space_group_name_H-M_alt 'P 4/m m m'
_space_group_IT_number 123
_space_group_name_Hall '-P 4 2'
_cell_length_a 3.2745
_cell_length_b 3.2745
_cell_length_c 8.6302
_cell_angle_alpha 90.00
_cell_angle_beta 90.00
_cell_angle_gamma 90.00
loop_
_atom_site_label
_atom_site_fract_x
_atom_site_fract_y
_atom_site_fract_z
_atom_site_occupancy
Cr1 0.0000 0.0000 0.0000 1
In1 0.0000 0.0000 0.5000 1
Cl1 0.5000 0.5000 0.1800 1
```

## Properties
DOS at the Fermi energy = 4.776 states/eV per cell
M_tot = 4.485 μB/f.u.
Density = 4.27 Mg/m³
Calculated total energy = -4.34 eV/atom
Formation energy without anion corrections = -0.33 eV per atom



VASP calculation (PBE-GGA) on crystalline NdDyAgAu at its relaxed geometry.

```
data_NdDyAgAu
_chemical_formula_sum 'Nd4 Dy4 Ag4 Au4'
_space_group_name_H-M_alt 'F -4 3 m'
_space_group_IT_number 216
_space_group_name_Hall 'F -4 2 3'
_cell_length_a 7.3532
_cell_length_b 7.3532
_cell_length_c 7.3532
_cell_angle_alpha 90.00
_cell_angle_beta 90.00
_cell_angle_gamma 90.00
loop_
_atom_site_label
_atom_site_fract_x
_atom_site_fract_y
_atom_site_fract_z
_atom_site_occupancy
Nd1 0.0000 0.0000 0.0000 1
Dy1 0.0000 0.0000 0.5000 1
Ag1 0.2500 0.2500 0.7500 1
Au1 0.2500 0.2500 0.2500 1
```

## Properties
DOS at the Fermi energy = 14.902 states/eV per cell
ΔH_f (0 K) = -0.540 eV per atom
M_tot = 0.000 μB/f.u.
Density = 10.22 Mg/m³
Calculated total energy = -4.41 eV/atom



VASP calculation (PBE-GGA) on crystalline ZnCd2TcB at its relaxed geometry.

```
data_ZnCd2TcB
_chemical_formula_sum 'Zn1 Cd2 Tc1 B1'
_space_group_name_H-M_alt 'P 4/m m m'
_space_group_IT_number 123
_space_group_name_Hall '-P 4 2'
_cell_length_a 5.2536
_cell_length_b 5.2536
_cell_length_c 4.8412
_cell_angle_alpha 90.00
_cell_angle_beta 90.00
_cell_angle_gamma 90.00
loop_
_atom_site_label
_atom_site_fract_x
_atom_site_fract_y
_atom_site_fract_z
_atom_site_occupancy
Zn1 0.0000 0.0000 0.0000 1
Cd1 0.0000 0.5000 0.5000 1
Tc1 0.0000 0.0000 0.5000 1
B1 0.5000 0.5000 0.0000 1
```

## Properties
DOS at the Fermi energy = 4.751 states/eV per cell
ΔH_f (0 K) = 1.709 eV per atom
M_tot = 1.203 μB/f.u.
Density = 4.96 Mg/m³
Calculated total energy = -2.32 eV/atom



VASP calculation (PBE-GGA) on crystalline Ca3Ac2PaSb6 at its relaxed geometry.

```
data_Ca3Ac2PaSb6
_chemical_formula_sum 'Ca6 Ac4 Pa2 Sb12'
_space_group_name_H-M_alt 'C 1 2/m 1'
_space_group_IT_number 12
_cell_length_a 8.0763
_cell_length_b 14.0437
_cell_length_c 7.8018
_cell_angle_alpha 90.00
_cell_angle_beta 110.63
_cell_angle_gamma 90.00
loop_
_space_group_symop_operation_xyz
'x,y,z'
'-x,-y,-z'
'-x,y,-z'
'x,-y,z'
'x+1/2,y+1/2,z'
'-x+1/2,-y+1/2,-z'
'-x+1/2,y+1/2,-z'
'x+1/2,-y+1/2,z'
loop_
_atom_site_label
_atom_site_fract_x
_atom_site_fract_y
_atom_site_fract_z
_atom_site_occupancy
Ca1 0.0000 0.0000 0.0000 1
Ca2 0.0000 0.3239 0.0000 1
Ac1 0.0000 0.1654 0.5000 1
Pa1 0.0000 0.5000 0.5000 1
Sb1 0.2229 0.5000 0.2469 1
Sb2 0.2377 0.3442 0.7480 1
```

## Properties
DOS at the Fermi energy = 17.736 states/eV per cell
M_tot = 0.000 μB/f.u.
Density = 6.16 Mg/m³
Calculated total energy = -4.96 eV/atom
Formation energy without anion corrections = -0.92 eV per atom



VASP calculation (PBE-GGA) on crystalline RbHg2Te2 at its relaxed geometry.

```
data_RbHg2Te2
_chemical_formula_sum 'Rb2 Hg4 Te4'
_space_group_name_H-M_alt 'P 4/m b m'
_space_group_IT_number 127
_space_group_name_Hall '-P 4 2ab'
_cell_length_a 9.5120
_cell_length_b 9.5120
_cell_length_c 3.8724
_cell_angle_alpha 90.00
_cell_angle_beta 90.00
_cell_angle_gamma 90.00
loop_
_atom_site_label
_atom_site_fract_x
_atom_site_fract_y
_atom_site_fract_z
_atom_site_occupancy
Rb1 0.0000 0.0000 0.0000 1
Hg1 0.1010 0.3990 0.0000 1
Te1 0.2375 0.7375 0.5000 1
```

## Properties
DOS at the Fermi energy = 3.815 states/eV per cell
M_tot = 0.000 μB/f.u.
Density = 7.03 Mg/m³
Calculated total energy = -1.86 eV/atom
Formation energy without anion corrections = -0.29 eV per atom



VASP calculation (PBE-GGA) on crystalline UPaS2 at its relaxed geometry.

```
data_UPaS2
_chemical_formula_sum 'U3 Pa3 S6'
_space_group_name_H-M_alt 'R 3 m'
_space_group_IT_number 160
_space_group_name_Hall 'R 3 -2"'
_cell_length_a 3.6674
_cell_length_b 3.6674
_cell_length_c 21.6308
_cell_angle_alpha 90.00
_cell_angle_beta 90.00
_cell_angle_gamma 120.00
loop_
_atom_site_label
_atom_site_fract_x
_atom_site_fract_y
_atom_site_fract_z
_atom_site_occupancy
U1 0.0000 0.0000 0.0000 1
Pa1 0.0000 0.0000 0.8265 1
S1 0.0000 0.0000 0.4113 1
S2 0.0000 0.0000 0.5820 1
```

## Properties
DOS at the Fermi energy = 19.114 states/eV per cell
M_tot = 2.290 μB/f.u.
Density = 10.54 Mg/m³
Calculated total energy = -8.59 eV/atom
Formation energy without anion corrections = -1.33 eV per atom



VASP calculation (PBE-GGA) on crystalline RbPt2SF at its relaxed geometry.

```
data_RbPt2SF
_chemical_formula_sum 'Rb1 Pt2 S1 F1'
_space_group_name_H-M_alt 'P 4/m m m'
_space_group_IT_number 123
_space_group_name_Hall '-P 4 2'
_cell_length_a 4.3762
_cell_length_b 4.3762
_cell_length_c 6.7839
_cell_angle_alpha 90.00
_cell_angle_beta 90.00
_cell_angle_gamma 90.00
loop_
_atom_site_label
_atom_site_fract_x
_atom_site_fract_y
_atom_site_fract_z
_atom_site_occupancy
Rb1 0.0000 0.0000 0.0000 1
Pt1 0.0000 0.5000 0.5000 1
S1 0.5000 0.5000 0.5000 1
F1 0.5000 0.5000 0.0000 1
```

## Properties
DOS at the Fermi energy = 2.954 states/eV per cell
M_tot = 0.000 μB/f.u.
Density = 6.73 Mg/m³
Calculated total energy = -4.41 eV/atom
Formation energy without anion corrections = -0.60 eV per atom



VASP calculation (PBE-GGA) on crystalline RePbW2 at its relaxed geometry.

```
data_RePbW2
_chemical_formula_sum 'Re2 Pb2 W4'
_space_group_name_H-M_alt 'C m m 2'
_space_group_IT_number 35
_cell_length_a 3.2510
_cell_length_b 4.7174
_cell_length_c 9.6522
_cell_angle_alpha 90.00
_cell_angle_beta 90.00
_cell_angle_gamma 90.00
loop_
_space_group_symop_operation_xyz
'x,y,z'
'-x,-y,z'
'-x,y,z'
'x,-y,z'
'x+1/2,y+1/2,z'
'-x+1/2,-y+1/2,z'
'-x+1/2,y+1/2,z'
'x+1/2,-y+1/2,z'
loop_
_atom_site_label
_atom_site_fract_x
_atom_site_fract_y
_atom_site_fract_z
_atom_site_occupancy
Re1 0.0000 0.0000 0.0000 1
Pb1 0.0000 0.5000 0.2887 1
W1 0.0000 0.0000 0.5637 1
W2 0.0000 0.5000 0.7870 1
```

## Properties
DOS at the Fermi energy = 5.621 states/eV per cell
ΔH_f (0 K) = 0.726 eV per atom
M_tot = 0.000 μB/f.u.
Density = 17.08 Mg/m³
Calculated total energy = -9.79 eV/atom



VASP calculation (PBE-GGA) on crystalline CsK2Hg3F8 at its relaxed geometry.

```
data_CsK2Hg3F8
_chemical_formula_sum 'Cs3 K6 Hg9 F24'
_space_group_name_H-M_alt 'R 3 m'
_space_group_IT_number 160
_space_group_name_Hall 'R 3 -2"'
_cell_length_a 7.4270
_cell_length_b 7.4270
_cell_length_c 19.9555
_cell_angle_alpha 90.00
_cell_angle_beta 90.00
_cell_angle_gamma 120.00
loop_
_atom_site_label
_atom_site_fract_x
_atom_site_fract_y
_atom_site_fract_z
_atom_site_occupancy
Cs1 0.0000 0.0000 0.0000 1
K1 0.0000 0.0000 0.3478 1
K2 0.0000 0.0000 0.8132 1
Hg1 0.1735 0.3470 0.1882 1
F1 0.0000 0.0000 0.1385 1
F2 0.0000 0.0000 0.5856 1
F3 0.0501 0.5251 0.1143 1
F4 0.1773 0.3547 0.9132 1
```

## Properties
DOS at the Fermi energy = 5.248 states/eV per cell
M_tot = 0.000 μB/f.u.
Density = 5.04 Mg/m³
Calculated total energy = -3.25 eV/atom
Formation energy without anion corrections = -1.90 eV per atom



VASP calculation (PBE-GGA) on crystalline BiAs2H at its relaxed geometry.

```
data_BiAs2H
_chemical_formula_sum 'Bi4 As8 H4'
_space_group_name_H-M_alt 'F m -3 m'
_space_group_IT_number 225
_space_group_name_Hall '-F 4 2 3'
_cell_length_a 6.8745
_cell_length_b 6.8745
_cell_length_c 6.8745
_cell_angle_alpha 90.00
_cell_angle_beta 90.00
_cell_angle_gamma 90.00
loop_
_atom_site_label
_atom_site_fract_x
_atom_site_fract_y
_atom_site_fract_z
_atom_site_occupancy
Bi1 0.0000 0.0000 0.0000 1
As1 0.2500 0.2500 0.2500 1
H1 0.0000 0.0000 0.5000 1
```

## Properties
DOS at the Fermi energy = 9.477 states/eV per cell
M_tot = 0.207 μB/f.u.
Density = 7.36 Mg/m³
Calculated total energy = -3.39 eV/atom